Arrangement P

ZnFe6W | Alexandria via LeMat-Bulk | PBE-GGA | optimized geometry; density = 9.9 g/cm3
1.0
6.334 -0.003 0.000
-2.136 5.963 0.000
0.000 0.000 10.331
Fe W Zn
24 4 4
direct
0.131 0.380 0.625 Fe
0.131 0.380 0.375 Fe
0.869 0.620 0.625 Fe
0.251 0.749 0.247 Fe
0.873 0.621 0.876 Fe
0.621 0.873 0.124 Fe
0.380 0.131 0.625 Fe
0.620 0.869 0.375 Fe
0.127 0.379 0.876 Fe
0.379 0.127 0.124 Fe
0.379 0.127 0.876 Fe
0.251 0.749 0.753 Fe
0.500 0.500 0.500 Fe
0.500 0.500 0.000 Fe
0.749 0.251 0.753 Fe
0.380 0.131 0.375 Fe
0.873 0.621 0.124 Fe
0.620 0.869 0.625 Fe
0.869 0.620 0.375 Fe
0.000 0.000 0.500 Fe
0.621 0.873 0.876 Fe
0.127 0.379 0.124 Fe
0.749 0.251 0.247 Fe
0.000 0.000 0.000 Fe
0.000 0.000 0.744 W
0.000 0.000 0.256 W
0.244 0.756 0.500 W
0.756 0.244 0.500 W
0.752 0.248 0.000 Zn
0.248 0.752 0.000 Zn
0.500 0.500 0.249 Zn
0.500 0.500 0.751 Zn

Arrangement Q

ZnFe6W | Alexandria via LeMat-Bulk | PBE-GGA | optimized geometry; density = 9.9 g/cm3
1.0
-2.045 -5.865 -1.699
3.788 3.631 -3.732
9.115 -4.570 4.806
W Fe Zn
4 24 4
direct
0.000 0.000 0.502 W
0.000 0.000 0.998 W
0.752 0.248 0.250 W
0.248 0.752 0.250 W
0.371 0.121 0.626 Fe
0.877 0.627 0.125 Fe
0.879 0.629 0.626 Fe
0.879 0.629 0.874 Fe
0.121 0.371 0.874 Fe
0.746 0.254 0.997 Fe
0.629 0.879 0.874 Fe
0.000 0.000 0.250 Fe
0.371 0.121 0.874 Fe
0.627 0.877 0.125 Fe
0.254 0.746 0.503 Fe
0.123 0.373 0.125 Fe
0.000 0.000 0.750 Fe
0.123 0.373 0.375 Fe
0.629 0.879 0.626 Fe
0.746 0.254 0.503 Fe
0.254 0.746 0.997 Fe
0.373 0.123 0.375 Fe
0.500 0.500 0.750 Fe
0.373 0.123 0.125 Fe
0.500 0.500 0.250 Fe
0.121 0.371 0.626 Fe
0.877 0.627 0.375 Fe
0.627 0.877 0.375 Fe
0.747 0.253 0.750 Zn
0.253 0.747 0.750 Zn
0.500 0.500 0.502 Zn
0.500 0.500 0.998 Zn

Which of them is most stable? Easy: arrangement Q.

Arrangement P

ZnFe3W | Alexandria via LeMat-Bulk | PBE-GGA | optimized geometry; density = 7.7 g/cm3
1.0
4.484 0.000 0.000
0.000 4.484 0.000
0.000 0.000 4.484
W Zn Fe
1 1 3
direct
0.000 0.000 0.000 W
0.500 0.500 0.500 Zn
0.000 0.500 0.000 Fe
0.500 0.000 0.000 Fe
0.000 0.000 0.500 Fe

Arrangement Q

ZnFe3W | Alexandria via LeMat-Bulk | PBE-GGA | optimized geometry; density = 9.7 g/cm3
1.0
-2.274 -3.337 0.948
1.151 -1.795 -3.558
3.272 -1.687 1.910
W Zn Fe
1 1 3
direct
0.500 0.500 0.500 W
0.000 0.000 0.000 Zn
0.000 0.500 0.000 Fe
0.500 0.000 0.000 Fe
0.000 0.000 0.500 Fe

Which of them is most stable? Easy: arrangement P.

Arrangement P

ZrFeW2 | Alexandria via LeMat-Bulk | PBE-GGA | optimized geometry; density = 13.0 g/cm3
1.0
-1.068 -5.259 -0.048
3.934 -3.588 0.666
-1.827 4.479 2.322
Zr Fe W
1 1 2
direct
0.250 0.750 0.500 Zr
0.750 0.250 0.500 Fe
0.500 0.500 0.000 W
0.000 0.000 0.000 W

Arrangement Q

ZrFeW2 | Alexandria via LeMat-Bulk | PBE-GGA | optimized geometry; density = 12.8 g/cm3
1.0
-2.073 3.994 -1.259
-3.377 -1.659 0.297
-0.193 1.042 3.623
Zr Fe W
1 1 2
direct
0.500 0.500 0.000 Zr
0.500 0.000 0.500 Fe
0.000 0.500 0.500 W
0.000 0.000 0.000 W

Which of them is most stable? Easy: arrangement Q.

Arrangement P

Zr3FeW | Alexandria via LeMat-Bulk | PBE-GGA | optimized geometry; density = 6.7 g/cm3
1.0
-0.200 -4.806 1.442
4.979 -0.012 0.652
-0.621 1.455 4.766
Zr Fe W
3 1 1
direct
0.500 0.000 0.000 Zr
0.000 0.500 0.000 Zr
0.000 0.000 0.500 Zr
0.500 0.500 0.500 Fe
0.000 0.000 0.000 W

Arrangement Q

Zr3FeW | Alexandria via LeMat-Bulk | PBE-GGA | optimized geometry; density = 8.1 g/cm3
1.0
-2.551 3.975 0.044
-3.632 -2.309 -1.945
-1.615 -1.084 4.304
Zr W Fe
3 1 1
direct
0.500 0.000 0.000 Zr
0.000 0.500 0.000 Zr
0.000 0.000 0.500 Zr
0.500 0.500 0.500 W
0.000 0.000 0.000 Fe

Which of them is most stable? Easy: arrangement Q.

Arrangement P

YFe6 | Alexandria via LeMat-Bulk | PBE-GGA | optimized geometry; density = 6.5 g/cm3
1.0
-0.934 1.881 -4.761
0.035 -5.201 -0.165
-3.723 1.607 3.261
Fe Y
6 1
direct
0.500 0.250 0.750 Fe
0.750 0.500 0.250 Fe
0.250 0.750 0.500 Fe
0.250 0.500 0.750 Fe
0.750 0.250 0.500 Fe
0.500 0.750 0.250 Fe
0.000 0.000 0.000 Y

Arrangement Q

YFe6 | Alexandria via LeMat-Bulk | PBE-GGA | optimized geometry; density = 7.3 g/cm3
1.0
-3.949 -1.580 -2.296
3.193 -7.256 -0.499
-4.160 -2.438 8.831
Fe Y
24 4
direct
0.750 0.854 0.860 Fe
0.250 0.907 0.515 Fe
0.006 0.436 0.192 Fe
0.250 0.050 0.905 Fe
0.494 0.436 0.192 Fe
0.994 0.064 0.692 Fe
0.750 0.093 0.485 Fe
0.006 0.936 0.308 Fe
0.250 0.146 0.140 Fe
0.750 0.190 0.248 Fe
0.250 0.810 0.752 Fe
0.506 0.564 0.808 Fe
0.750 0.593 0.015 Fe
0.250 0.550 0.595 Fe
0.750 0.450 0.405 Fe
0.494 0.936 0.308 Fe
0.250 0.407 0.985 Fe
0.750 0.950 0.095 Fe
0.506 0.064 0.692 Fe
0.250 0.646 0.360 Fe
0.250 0.310 0.748 Fe
0.750 0.690 0.252 Fe
0.994 0.564 0.808 Fe
0.750 0.354 0.640 Fe
0.750 0.242 0.936 Y
0.250 0.758 0.064 Y
0.750 0.742 0.564 Y
0.250 0.258 0.436 Y

Which of them is most stable? Easy: arrangement Q.

Arrangement P

Y4Fe | Alexandria via LeMat-Bulk | PBE-GGA | optimized geometry; density = 4.5 g/cm3
1.0
-2.060 2.060 8.970
2.060 -2.060 8.970
2.060 2.060 -8.970
Y Fe
4 1
direct
0.585 0.585 0.000 Y
0.750 0.250 0.500 Y
0.415 0.415 0.000 Y
0.250 0.750 0.500 Y
0.000 0.000 0.000 Fe

Arrangement Q

Y4Fe | Alexandria via LeMat-Bulk | PBE-GGA | optimized geometry; density = 4.6 g/cm3
1.0
5.291 0.000 0.000
0.000 5.291 0.000
0.000 0.000 5.291
Y Fe
4 1
direct
0.500 0.000 0.500 Y
0.500 0.500 0.000 Y
0.000 0.500 0.500 Y
0.000 0.000 0.000 Y
0.500 0.500 0.500 Fe

Which of them is most stable? Easy: arrangement Q.